DFT (PBE) results for an optimized crystal structure of Be2SiBi.

Lattice parameters (Å, degrees): 4.5610 4.5610 4.5610 60.00 60.00 60.00
Fractional positions:
1 Be 0.2500 0.2500 0.2500
2 Si 0.0000 0.0000 0.0000
3 Be 0.7500 0.7500 0.7500
4 Bi 0.5000 0.5000 0.5000

symmetry = Fm-3m
energy relative to the lowest polymorph listed for this composition = 446 meV/atom
E = -3.329 eV per atom



DFT (PBE) results for an optimized crystal structure of BeSi3Bi.

Lattice parameters (Å, degrees): 5.4012 5.4012 5.4012 90.00 90.00 90.00
Fractional positions:
1 Si 0.5000 0.0000 0.0000
2 Bi 0.0000 0.0000 0.0000
3 Si 0.0000 0.5000 0.0000
4 Be 0.5000 0.5000 0.5000
5 Si 0.0000 0.0000 0.5000

symmetry = Pm-3m
energy relative to the lowest polymorph listed for this composition = 1366 meV/atom
E = -2.763 eV per atom



DFT (PBE) results for an optimized crystal structure of BeSiBi2.

Lattice parameters (Å, degrees): 6.0618 6.0618 7.4567 66.02 66.02 90.00
Fractional positions:
1 Bi 0.5982 0.1250 0.2500
2 Bi 0.8750 0.8482 0.7500
3 Bi 0.3750 0.4018 0.7500
4 Be 0.2500 0.7500 0.5000
5 Si 0.0000 0.0000 0.0000
6 Bi 0.1518 0.6250 0.2500
7 Si 0.7500 0.2500 0.5000
8 Be 0.5000 0.5000 0.0000

symmetry = I-42d
energy relative to the lowest polymorph listed for this composition = 0 meV/atom
E = -3.895 eV per atom



DFT (PBE) results for an optimized crystal structure of BeSi3Bi.

Lattice parameters (Å, degrees): 4.5155 4.5155 4.5155 90.00 90.00 90.00
Fractional positions:
1 Si 0.0000 0.0000 0.5000
2 Bi 0.5000 0.5000 0.5000
3 Be 0.0000 0.0000 0.0000
4 Si 0.0000 0.5000 0.0000
5 Si 0.5000 0.0000 0.0000

symmetry = Pm-3m
energy relative to the lowest polymorph listed for this composition = 0 meV/atom
E = -4.129 eV per atom



DFT (PBE) results for an optimized crystal structure of BeSi2Bi.

Lattice parameters (Å, degrees): 5.3970 5.3970 7.2526 68.16 68.16 90.00
Fractional positions:
1 Bi 0.0000 0.0000 0.0000
2 Si 0.3750 0.4684 0.7500
3 Be 0.2500 0.7500 0.5000
4 Si 0.8750 0.7816 0.7500
5 Si 0.2184 0.6250 0.2500
6 Si 0.5316 0.1250 0.2500
7 Bi 0.7500 0.2500 0.5000
8 Be 0.5000 0.5000 0.0000

symmetry = I-42d
energy relative to the lowest polymorph listed for this composition = 0 meV/atom
E = -4.137 eV per atom



DFT (PBE) results for an optimized crystal structure of BeSiBi2.

Lattice parameters (Å, degrees): 5.0492 5.0492 5.0492 60.00 60.00 60.00
Fractional positions:
1 Bi 0.7500 0.7500 0.7500
2 Si 0.5000 0.5000 0.5000
3 Be 0.0000 0.0000 0.0000
4 Bi 0.2500 0.2500 0.2500

symmetry = Fm-3m
energy relative to the lowest polymorph listed for this composition = 374 meV/atom
E = -3.521 eV per atom



DFT (PBE) results for an optimized crystal structure of Be3SiBi.

Lattice parameters (Å, degrees): 4.3674 4.3674 4.3674 90.00 90.00 90.00
Fractional positions:
1 Be 0.0000 0.5000 0.0000
2 Si 0.0000 0.0000 0.0000
3 Bi 0.5000 0.5000 0.5000
4 Be 0.0000 0.0000 0.5000
5 Be 0.5000 0.0000 0.0000

symmetry = Pm-3m
energy relative to the lowest polymorph listed for this composition = 0 meV/atom
E = -3.310 eV per atom



DFT (PBE) results for an optimized crystal structure of Be2SiBi.

Lattice parameters (Å, degrees): 4.5345 4.5345 7.7870 73.07 73.07 90.00
Fractional positions:
1 Bi 0.7500 0.2500 0.5000
2 Be 0.8750 0.7614 0.7500
3 Be 0.3750 0.4886 0.7500
4 Si 0.2500 0.7500 0.5000
5 Si 0.5000 0.5000 0.0000
6 Be 0.5114 0.1250 0.2500
7 Bi 0.0000 0.0000 0.0000
8 Be 0.2386 0.6250 0.2500

symmetry = I-42d
energy relative to the lowest polymorph listed for this composition = 0 meV/atom
E = -3.775 eV per atom



DFT (PBE) results for an optimized crystal structure of BeSi2Bi.

Lattice parameters (Å, degrees): 4.7733 4.7733 4.7733 60.00 60.00 60.00
Fractional positions:
1 Si 0.7500 0.7500 0.7500
2 Si 0.2500 0.2500 0.2500
3 Be 0.0000 0.0000 0.0000
4 Bi 0.5000 0.5000 0.5000

symmetry = Fm-3m
energy relative to the lowest polymorph listed for this composition = 450 meV/atom
E = -3.687 eV per atom



DFT (PBE) results for an optimized crystal structure of BeSi2BiTe.

Lattice parameters (Å, degrees): 4.5278 5.3526 4.5278 90.00 90.00 90.00
Fractional positions:
1 Be 0.0000 0.0000 0.0000
2 Te 0.5000 0.5000 0.5000
3 Si 0.0000 0.0000 0.5000
4 Bi 0.0000 0.5000 0.0000
5 Si 0.5000 0.0000 0.0000

symmetry = P4/mmm
E = -3.725 eV per atom



DFT (PBE) results for an optimized crystal structure of TiBe2SiBi.

Lattice parameters (Å, degrees): 4.4483 5.7179 4.4483 90.00 90.00 90.00
Fractional positions:
1 Bi 0.0000 0.0000 0.0000
2 Ti 0.5000 0.5000 0.5000
3 Be 0.0000 0.0000 0.5000
4 Si 0.0000 0.5000 0.0000
5 Be 0.5000 0.0000 0.0000

symmetry = P4/mmm
E = -3.350 eV per atom



DFT (PBE) results for an optimized crystal structure of ZrBe2SiBi.

Lattice parameters (Å, degrees): 4.7871 5.5695 4.7871 90.00 90.00 90.00
Fractional positions:
1 Si 0.5000 0.5000 0.5000
2 Bi 0.0000 0.5000 0.0000
3 Zr 0.0000 0.0000 0.0000
4 Be 0.5000 0.0000 0.0000
5 Be 0.0000 0.0000 0.5000

symmetry = P4/mmm
E = -3.616 eV per atom



> Which value of E does entry 4 give?

-4.129 eV per atom